Entry 1:
The following is a DFT calculation (PBE) of a relaxed SrPaAu2O8 crystal.

Unit cell a=5.641 b=5.641 c=10.972 alpha=90.00 beta=90.00 gamma=90.00
Space group I-4 (No. 82)
Unique sites:
1 Sr 0.000 0.000 0.000 x2
2 Pa 0.000 0.500 0.750 x2
3 Au 0.000 0.000 0.500 x2
4 Au 0.000 0.500 0.250 x2
5 O 0.076 0.392 0.536 x8
6 O 0.182 0.805 0.229 x8

Summary:
electronic total energy: -6.155 eV per atom
Fermi-level density of states: 10.2 states/eV/cell

Entry 2:
The following is a DFT calculation (PBE) of a relaxed SrPa2AuO8 crystal.

Unit cell a=5.144 b=7.118 c=5.167 alpha=90.00 beta=93.30 gamma=90.00
Space group P2/m (No. 10)
Unique sites:
1 Sr 0.000 0.000 0.000 x1
2 Pa 0.500 0.255 0.500 x2
3 Au 0.000 0.500 0.000 x1
4 O 0.198 0.289 0.199 x4
5 O 0.320 0.500 0.681 x2
6 O 0.332 0.000 0.670 x2

Summary:
electronic total energy: -7.796 eV per atom
Fermi-level density of states: 1.8 states/eV/cell

Entry 3:
The following is a DFT calculation (PBE) of a relaxed PaTaAuO6 crystal.

Unit cell a=5.6655 b=5.6655 c=9.2843 alpha=90.00 beta=90.00 gamma=120.00
Space group P-31c (No. 163)
Unique sites:
1 Pa 0.3333 0.6667 0.2500 x2
2 Ta 0.3333 0.6667 0.7500 x2
3 Au 0.0000 0.0000 0.0000 x2
4 O 0.0236 0.3739 0.6364 x12

Summary:
electronic total energy: -8.313 eV per atom
Fermi-level density of states: 10.3 states/eV/cell

Entry 4:
The following is a DFT calculation (PBE) of a relaxed TbPaAu2O8 crystal.

Unit cell a=7.130 b=7.130 c=7.148 alpha=90.00 beta=90.00 gamma=90.00
Space group I-4m2 (No. 119)
Unique sites:
1 Tb 0.000 0.000 0.000 x2
2 Pa 0.000 0.500 0.250 x2
3 Au 0.000 0.000 0.500 x2
4 Au 0.000 0.500 0.750 x2
5 O 0.000 0.186 0.276 x8
6 O 0.000 0.328 0.972 x8

Summary:
electronic total energy: -6.508 eV per atom
Fermi-level density of states: 16.1 states/eV/cell

Entry 5:
The following is a DFT calculation (PBE) of a relaxed PaTcAuO6 crystal.

Unit cell a=5.5499 b=5.5499 c=9.4950 alpha=90.00 beta=90.00 gamma=120.00
Space group P-31c (No. 163)
Unique sites:
1 Pa 0.3333 0.6667 0.2500 x2
2 Tc 0.3333 0.6667 0.7500 x2
3 Au 0.0000 0.0000 0.0000 x2
4 O 0.0286 0.3802 0.6371 x12

Summary:
electronic total energy: -7.647 eV per atom
Fermi-level density of states: 7.0 states/eV/cell

Entry 6:
The following is a DFT calculation (PBE) of a relaxed ThPaAu2O8 crystal.

Unit cell a=7.213 b=7.213 c=7.263 alpha=90.00 beta=90.00 gamma=90.00
Space group I-4m2 (No. 119)
Unique sites:
1 Th 0.000 0.000 0.000 x2
2 Pa 0.000 0.500 0.250 x2
3 Au 0.000 0.000 0.500 x2
4 Au 0.000 0.500 0.750 x2
5 O 0.000 0.190 0.275 x8
6 O 0.000 0.330 0.973 x8

Summary:
electronic total energy: -6.952 eV per atom
Fermi-level density of states: 14.9 states/eV/cell

Entry 7:
The following is a DFT calculation (PBE) of a relaxed PaTiAu2O8 crystal.

Unit cell a=6.783 b=6.783 c=7.055 alpha=90.00 beta=90.00 gamma=90.00
Space group I-4m2 (No. 119)
Unique sites:
1 Pa 0.000 0.000 0.000 x2
2 Ti 0.000 0.500 0.750 x2
3 Au 0.000 0.000 0.500 x2
4 Au 0.000 0.500 0.250 x2
5 O 0.000 0.194 0.727 x8
6 O 0.000 0.329 0.002 x8

Summary:
electronic total energy: -6.714 eV per atom
Fermi-level density of states: 15.5 states/eV/cell

Entry 8:
The following is a DFT calculation (PBE) of a relaxed PaTl3Au2O6 crystal.

Unit cell a=6.5552 b=6.5552 c=7.2657 alpha=90.00 beta=90.00 gamma=120.00
Space group P-3m1 (No. 164)
Unique sites:
1 Pa 0.0000 0.0000 0.0000 x1
2 Tl 0.0000 0.0000 0.5000 x1
3 Tl 0.3333 0.6667 0.2260 x2
4 Au 0.3333 0.6667 0.8127 x2
5 O 0.1491 0.2982 0.8140 x6

Summary:
electronic total energy: -5.470 eV per atom
Fermi-level density of states: 8.5 states/eV/cell